Entry 1:
{
  "formula": "Rb2TbErTe4",
  "functional": "PBE",
  "state": "relaxed",
  "lattice": [[4.5084, 0.0000, 0.0000], [-2.2542, 3.9044, 0.0000], [0.0000, 0.0000, 17.1052]],
  "species": ["Tb", "Te", "Rb", "Te", "Te", "Rb", "Er", "Te"],
  "fractional_positions": [[0.0000, 0.0000, 0.5000], [0.6667, 0.3333, 0.9010], [0.3333, 0.6667, 0.7508], [0.3333, 0.6667, 0.0990], [0.6667, 0.3333, 0.6012], [0.6667, 0.3333, 0.2492], [0.0000, 0.0000, 0.0000], [0.3333, 0.6667, 0.3988]],
  "dft_energy_ev_per_atom": -4.339
}



Entry 2:
{
  "formula": "RbErTc",
  "functional": "PBE",
  "state": "relaxed",
  "lattice": [[0.0000, 3.5658, 3.5658], [3.5658, 0.0000, 3.5658], [3.5658, 3.5658, 0.0000]],
  "species": ["Er", "Tc", "Rb"],
  "fractional_positions": [[0.0000, 0.0000, 0.0000], [0.7500, 0.7500, 0.7500], [0.2500, 0.2500, 0.2500]],
  "dft_energy_ev_per_atom": -3.557
}



Entry 3:
{
  "formula": "RbErTe",
  "functional": "PBE",
  "state": "relaxed",
  "lattice": [[-3.9830, -3.4973, -1.2212], [-0.7597, -4.4330, 3.0592], [-4.3737, -0.3707, 3.2126]],
  "species": ["Rb", "Er", "Te"],
  "fractional_positions": [[0.0000, 0.0000, 0.0000], [0.5000, 0.5000, 0.5000], [0.2500, 0.2500, 0.2500]],
  "polymorph_energy_mev_per_atom": 0,
  "dft_energy_ev_per_atom": -2.999
}



Entry 4:
{
  "formula": "RbErTmTe3",
  "functional": "PBE",
  "state": "relaxed",
  "lattice": [[-4.4720, 7.4812, -1.0027], [1.3312, -7.4781, 4.3906], [7.6468, 5.5205, 7.0842]],
  "species": ["Tm", "Te", "Te", "Te", "Rb", "Te", "Rb", "Tm", "Te", "Te", "Er", "Er"],
  "fractional_positions": [[0.4642, 0.5358, 0.2500], [0.9314, 0.0686, 0.7500], [0.0686, 0.9314, 0.2500], [0.3749, 0.6251, 0.0426], [0.2550, 0.7450, 0.7500], [0.6251, 0.3749, 0.9574], [0.7450, 0.2550, 0.2500], [0.5358, 0.4642, 0.7500], [0.3749, 0.6251, 0.4574], [0.6251, 0.3749, 0.5426], [0.0000, 0.0000, 0.5000], [0.0000, 0.0000, 0.0000]],
  "polymorph_energy_mev_per_atom": 0,
  "dft_energy_ev_per_atom": -4.421
}



Entry 5:
{
  "formula": "Rb2ErTmTe4",
  "functional": "PBE",
  "state": "relaxed",
  "lattice": [[-3.0783, -2.6101, -1.9469], [4.1277, -1.5770, 0.7444], [-4.9244, -5.6427, 15.3510]],
  "species": ["Tm", "Rb", "Rb", "Te", "Te", "Te", "Te", "Er"],
  "fractional_positions": [[0.0000, 0.0000, 0.5000], [0.6667, 0.3333, 0.2503], [0.3333, 0.6667, 0.7497], [0.3333, 0.6667, 0.4011], [0.6667, 0.3333, 0.9003], [0.3333, 0.6667, 0.0997], [0.6667, 0.3333, 0.5989], [0.0000, 0.0000, 0.0000]],
  "dft_energy_ev_per_atom": -4.303
}



Entry 6:
{
  "formula": "RbErTmTe3",
  "functional": "PBE",
  "state": "relaxed",
  "lattice": [[1.1926, 4.7430, 7.2890], [-1.6497, -7.7421, -3.7931], [11.5443, -2.2526, -0.4231]],
  "species": ["Te", "Te", "Rb", "Rb", "Tm", "Te", "Te", "Te", "Er", "Te", "Tm", "Er"],
  "fractional_positions": [[0.8757, 0.1243, 0.0408], [0.1243, 0.8757, 0.5407], [0.7547, 0.2453, 0.7500], [0.2453, 0.7547, 0.2500], [0.5000, 0.5000, 0.0000], [0.8757, 0.1243, 0.4592], [0.1243, 0.8757, 0.9592], [0.5692, 0.4308, 0.2500], [0.0352, 0.9648, 0.7500], [0.4308, 0.5692, 0.7500], [0.5000, 0.5000, 0.5000], [0.9648, 0.0352, 0.2500]],
  "polymorph_energy_mev_per_atom": 9,
  "dft_energy_ev_per_atom": -4.412
}